DFT (PBE-GGA) results for a relaxed Tb3Ho2PuSe6 crystal.

formation energy without anion corrections = -1.737 eV/atom
E = -79.13 eV for the cell shown

Lattice parameters (Å, degrees): 4.0676 8.2113 9.1468 103.02 102.85 90.00
Last column: nearest neighbours and their distance in Å.
Sites, in units of the cell vectors:
Se: 0.6687 0.0870 0.3373  2 Ho 2.85, 3 Tb 2.89, 1 Pu 2.93
Se: 0.9994 0.7471 0.9987  1 Ho 2.83, 3 Tb 2.87, 2 Pu 2.90
Se: 0.3311 0.4188 0.6622  3 Ho 2.89-2.91, 3 Tb 2.93
Se: 0.6689 0.5812 0.3378  3 Ho 2.89-2.91, 3 Tb 2.93
Se: 0.0006 0.2529 0.0013  1 Ho 2.83, 3 Tb 2.87, 2 Pu 2.90
Se: 0.3313 0.9130 0.6627  2 Ho 2.85, 3 Tb 2.89, 1 Pu 2.93
Ho: 0.8364 0.6718 0.6729  6 Se 2.83-2.91
Ho: 0.1636 0.3282 0.3271  6 Se 2.83-2.91
Tb: 0.5000 0.5000 0.0000  6 Se 2.87-2.93
Tb: 0.1646 0.8352 0.3292  6 Se 2.87-2.93
Tb: 0.8354 0.1648 0.6708  6 Se 2.87-2.93
Pu: 0.5000 0.0000 0.0000  6 Se 2.90-2.93

---

DFT (PBE-GGA) results for a relaxed MoIrBr crystal.

formation energy without anion corrections = 0.802 eV/atom
E = -18.96 eV for the cell shown

Lattice parameters (Å, degrees): 4.3863 4.3863 2.9544 90.00 90.00 120.00
Last column: nearest neighbours and their distance in Å.
Sites, in units of the cell vectors:
Ir: 0.6667 0.3333 0.3184  6 Br 2.84-3.03, 6 Mo 2.90-2.96, 2 Ir 2.95
Mo: 0.3333 0.6667 0.7999  3 Br 2.54
Br: 0.0000 0.0000 0.8817  3 Mo 2.54, 3 Ir 2.84

---

DFT (PBE-GGA) results for a relaxed Pr3Sm5Er3 crystal.

E = -43.10 eV for the cell shown
formation energy from the elements = 0.78 eV/atom

Lattice parameters (Å, degrees): 5.3380 9.8077 9.8077 120.00 90.00 90.00
Last column: nearest neighbours and their distance in Å.
Sites, in units of the cell vectors:
Sm: 0.5000 0.0000 0.7392  2 Pr 3.16, 2 Er 3.30
Sm: 0.5000 0.2608 0.2608  2 Pr 3.16, 2 Er 3.30
Sm: 0.5000 0.3333 0.6667  3 Pr 3.15
Sm: 0.5000 0.7392 0.0000  2 Pr 3.16, 2 Er 3.30
Sm: 0.5000 0.6667 0.3333  3 Pr 3.15
Pr: 0.5000 0.3595 0.0000  4 Sm 3.15-3.16, 2 Er 3.21
Pr: 0.5000 0.0000 0.3595  4 Sm 3.15-3.16, 2 Er 3.21
Pr: 0.5000 0.6405 0.6405  4 Sm 3.15-3.16, 2 Er 3.21
Er: 0.0000 0.5413 0.0000  2 Pr 3.21, 2 Sm 3.30
Er: 0.0000 0.4587 0.4587  2 Pr 3.21, 2 Sm 3.30
Er: 0.0000 0.0000 0.5413  2 Pr 3.21, 2 Sm 3.30

---

So what do the calculations give for spin magnetization? Going down the list: 0.50 0.00 0.00 μB per atom.